Record 1
Entry from OQMD: an optimized crystal structure of PrYPd4Pb2 (PBE-GGA).

Lattice parameters (Å, degrees): 4.7104 4.7104 9.0470 90.00 90.00 120.00
Atoms (fractional coordinates):
1 Pd 0.0000 0.0000 0.6569
2 Pd 0.6667 0.3333 0.8352
3 Pd 0.6667 0.3333 0.1648
4 Pd 0.0000 0.0000 0.3431
5 Y 0.6667 0.3333 0.5000
6 Pb 0.3333 0.6667 0.7396
7 Pb 0.3333 0.6667 0.2604
8 Pr 0.0000 0.0000 0.0000

Symmetry: P-6m2 (187)
Spin magnetization: 0.01 μB per formula unit
Total energy: -5.5936 eV per atom

=====

Record 2
Entry from OQMD: an optimized crystal structure of SmGdIn (PBE-GGA).

Lattice parameters (Å, degrees): 5.2440 5.2440 5.2440 60.00 60.00 60.00
Each line ends with the local moment (μB).
Atoms (fractional coordinates):
1 Sm 0.0000 0.0000 0.0000  0.04
2 In 0.2500 0.2500 0.2500  0.00
3 Gd 0.5000 0.5000 0.5000  0.06

Offset from the most stable computed form: 253 meV per atom
Symmetry: F-43m (216)
Spin magnetization: 0.19 μB per formula unit
Total energy: -4.1342 eV per atom

=====

Record 3
Entry from OQMD: an optimized crystal structure of BaNdCuSe3 (PBE-GGA).

Lattice parameters (Å, degrees): 8.8798 4.2270 9.4497 90.00 105.31 90.00
Atoms (fractional coordinates):
1 Ba 0.1957 0.2500 0.2499
2 Ba 0.8043 0.7500 0.7501
3 Cu 0.9166 0.7500 0.4058
4 Cu 0.0834 0.2500 0.5942
5 Nd 0.6779 0.2500 0.1622
6 Nd 0.3221 0.7500 0.8378
7 Se 0.9004 0.7500 0.1375
8 Se 0.2076 0.7500 0.5203
9 Se 0.4443 0.7500 0.1672
10 Se 0.5557 0.2500 0.8328
11 Se 0.7924 0.2500 0.4797
12 Se 0.0996 0.2500 0.8625

Symmetry: P2_1/m (11)
Spin magnetization: 0.00 μB per formula unit
Total energy: -5.0268 eV per atom

=====

Record 4
Entry from OQMD: an optimized crystal structure of Lu2PtPb (PBE-GGA).

Lattice parameters (Å, degrees): 5.0688 5.0688 5.0688 60.00 60.00 60.00
Atoms (fractional coordinates):
1 Pb 0.5000 0.5000 0.5000
2 Pt 0.2500 0.2500 0.2500
3 Lu 0.0000 0.0000 0.0000
4 Lu 0.7500 0.7500 0.7500

Symmetry: F-43m (216)
Spin magnetization: 0.02 μB per formula unit
Total energy: -4.9827 eV per atom

=====

Q: What is the total energy in the third record?
A: -5.0268 eV per atom

=====

What did the third record say?
Entry from OQMD: an optimized crystal structure of BaNdCuSe3 (PBE-GGA).

Lattice parameters (Å, degrees): 8.8798 4.2270 9.4497 90.00 105.31 90.00
Atoms (fractional coordinates):
1 Ba 0.1957 0.2500 0.2499
2 Ba 0.8043 0.7500 0.7501
3 Cu 0.9166 0.7500 0.4058
4 Cu 0.0834 0.2500 0.5942
5 Nd 0.6779 0.2500 0.1622
6 Nd 0.3221 0.7500 0.8378
7 Se 0.9004 0.7500 0.1375
8 Se 0.2076 0.7500 0.5203
9 Se 0.4443 0.7500 0.1672
10 Se 0.5557 0.2500 0.8328
11 Se 0.7924 0.2500 0.4797
12 Se 0.0996 0.2500 0.8625

Symmetry: P2_1/m (11)
Spin magnetization: 0.00 μB per formula unit
Total energy: -5.0268 eV per atom